This record from Alexandria via LeMat-Bulk describes a relaxed Pu2NiPb3O9 crystal. The functional is PBE+U.

The space group is P-3m1 (No. 164) and the conventional cell measures 5.9041, 5.9041 and 7.3897 Å, with angles of 90.00, 90.00 and 120.00 degrees. The inequivalent atoms are Pu at (0.3333, 0.6667, 0.1721), Ni at (0.0000, 0.0000, 0.5000), Pb at (0.0000, 0.0000, 0.0000), Pb at (0.3333, 0.6667, 0.6184), O at (0.0000, 0.5000, 0.0000) and O at (0.1674, 0.3349, 0.3415).

For the magnetization, the calculation gives 8.0 μB per formula unit. For the uncorrected energy, the calculation gives -7.62 eV per atom.